A | Below is a relaxed ZnMo2Br crystal, with properties calculated at the GGA-PBE level.

Unit cell a=3.332 b=4.657 c=5.217 alpha=90.00 beta=98.23 gamma=90.00
Element x y z (fractional)
Zn (0.000, 0.000, 0.000)
Mo (0.313, 0.500, 0.169)
Mo (0.687, 0.500, 0.831)
Br (0.500, 0.000, 0.500)

***

B | Below is a relaxed ZnMo2Br crystal, with properties calculated at the GGA-PBE level.

Unit cell a=2.853 b=2.853 c=8.823 alpha=90.00 beta=90.00 gamma=110.39
Element x y z (fractional)
Zn (0.000, 0.000, 0.000)
Mo (0.500, 0.500, 0.243)
Mo (0.500, 0.500, 0.757)
Br (0.000, 0.000, 0.500)

***

C | Below is a relaxed ZnMo2Br crystal, with properties calculated at the GGA-PBE level.

Unit cell a=3.838 b=3.838 c=4.645 alpha=90.00 beta=90.00 gamma=90.00
Element x y z (fractional)
Zn (0.000, 0.000, 0.000)
Mo (0.000, 0.500, 0.500)
Mo (0.500, 0.000, 0.500)
Br (0.500, 0.500, 0.000)

***

D | Below is a relaxed ZnMo2Br crystal, with properties calculated at the GGA-PBE level.

Unit cell a=5.080 b=5.080 c=4.956 alpha=108.82 beta=108.82 gamma=36.22
Element x y z (fractional)
Zn (0.000, 0.000, 0.000)
Mo (0.441, 0.441, 0.428)
Mo (0.750, 0.750, 0.139)
Br (0.223, 0.223, 0.669)

***

Most stable structure - A; separation to the second - 10.3 kJ/mol of atoms.

***

A | Below is a relaxed ZnMo2Br crystal, with properties calculated at the GGA-PBE level.

Unit cell a=3.063 b=4.690 c=4.712 alpha=90.00 beta=90.00 gamma=90.00
Element x y z (fractional)
Zn (0.000, 0.000, 0.000)
Mo (0.000, 0.500, 0.500)
Mo (0.500, 0.000, 0.500)
Br (0.500, 0.500, 0.000)

***

B | Below is a relaxed ZnMo2Br crystal, with properties calculated at the GGA-PBE level.

Unit cell a=3.191 b=3.191 c=7.801 alpha=90.00 beta=90.00 gamma=90.00
Element x y z (fractional)
Zn (0.000, 0.000, 0.000)
Mo (0.000, 0.000, 0.624)
Mo (0.500, 0.500, 0.798)
Br (0.500, 0.500, 0.380)

***

Most stable structure - B; separation to the second - 43.5 kJ/mol of atoms.